Record 1
# PBE Rb3Tl2Se3, relaxed
# Crystal system   orthorhombic
# Magnetization   0.000 μB/atom
# Final energy   -23.99 eV per formula unit
# Space group   No. 63
data_Rb3Tl2Se3
_cell_length_a 7.7075
_cell_length_b 7.7075
_cell_length_c 17.1929
_cell_angle_alpha 90.00
_cell_angle_beta 90.00
_cell_angle_gamma 143.23
_symmetry_space_group_name_H-M 'P 1'
_symmetry_Int_Tables_number 1
_symmetry_space_group_name_Hall 'P 1'
loop_
_atom_site_label
_atom_site_type_symbol
_atom_site_fract_x
_atom_site_fract_y
_atom_site_fract_z
_atom_site_occupancy
Rb1 Rb 0.0566 0.9434 0.6082 1
Rb2 Rb 0.0566 0.9434 0.8918 1
Rb3 Rb 0.3271 0.6729 0.7500 1
Rb4 Rb 0.6729 0.3271 0.2500 1
Rb5 Rb 0.9434 0.0566 0.1082 1
Rb6 Rb 0.9434 0.0566 0.3918 1
Tl1 Tl 0.2442 0.7558 0.0858 1
Tl2 Tl 0.2442 0.7558 0.4142 1
Tl3 Tl 0.7558 0.2442 0.5858 1
Tl4 Tl 0.7558 0.2442 0.9142 1
Se1 Se 0.3359 0.6641 0.2500 1
Se2 Se 0.3757 0.6243 0.5551 1
Se3 Se 0.3757 0.6243 0.9449 1
Se4 Se 0.6243 0.3757 0.0551 1
Se5 Se 0.6243 0.3757 0.4449 1
Se6 Se 0.6641 0.3359 0.7500 1

Record 2
# PBE RbTlSe4, relaxed
# Crystal system   monoclinic
# Magnetization   0.000 μB/atom
# Final energy   -19.72 eV per formula unit
# Space group   No. 8
data_RbTlSe4
_cell_length_a 6.3059
_cell_length_b 6.3059
_cell_length_c 8.1457
_cell_angle_alpha 126.55
_cell_angle_beta 126.55
_cell_angle_gamma 50.35
_symmetry_space_group_name_H-M 'P 1'
_symmetry_Int_Tables_number 1
_symmetry_space_group_name_Hall 'P 1'
loop_
_atom_site_label
_atom_site_type_symbol
_atom_site_fract_x
_atom_site_fract_y
_atom_site_fract_z
_atom_site_occupancy
Rb1 Rb 0.0000 0.0000 0.0000 1
Tl1 Tl 0.2008 0.2008 0.6702 1
Se1 Se 0.4203 0.4203 0.4283 1
Se2 Se 0.6014 0.6014 0.8223 1
Se3 Se 0.6391 0.6391 0.3837 1
Se4 Se 0.8368 0.8368 0.3313 1